No. 1
This record from Alexandria describes crystalline Cd2Hg3Pb8 at its relaxed geometry. The functional is PBE.

## Properties
Calculated formation energy = 67 meV per atom

Geometry as POSCAR:
```
Cd2Hg3Pb8
1.0
3.510 0.000 0.000
0.000 10.010 -6.456
0.000 -0.790 11.720
Pb Cd Hg
8 2 3
Cartesian
1.755 5.709 4.059 Pb
1.755 3.511 1.204 Pb
3.510 3.430 6.991 Pb
3.510 0.772 2.522 Pb
0.000 5.790 -1.727 Pb
0.000 8.448 2.741 Pb
1.755 0.516 7.199 Pb
1.755 8.705 -1.936 Pb
1.755 6.620 0.814 Cd
1.755 2.601 4.449 Cd
0.000 2.529 -1.627 Hg
3.510 6.691 6.891 Hg
1.755 0.000 0.000 Hg
```

---

No. 2
This record from Alexandria describes crystalline CdHg12Pb3 at its relaxed geometry. The functional is PBE.

## Properties
Calculated formation energy = 29 meV per atom

Geometry as POSCAR:
```
CdHg12Pb3
1.0
-1.081 -2.494 -3.672
3.711 -2.581 0.661
-10.872 -12.619 11.769
Hg Pb Cd
12 3 1
Cartesian
-1.421 -5.714 1.457 Hg
-7.721 -12.406 10.697 Hg
-7.347 -9.147 5.531 Hg
-4.951 -9.190 7.698 Hg
-4.606 -5.966 2.565 Hg
-10.117 -12.362 8.530 Hg
-4.121 -8.847 4.379 Hg
-6.820 -11.980 7.301 Hg
1.315 -2.538 -1.506 Hg
0.560 -2.795 1.733 Hg
-1.836 -2.751 -0.434 Hg
-2.210 -6.010 4.732 Hg
-8.245 -9.570 8.925 Pb
-5.436 -6.310 5.884 Pb
-2.627 -3.049 2.844 Pb
0.000 0.000 0.000 Cd
```

---

No. 3
This record from Alexandria describes crystalline Cd4Hg4Pb3 at its relaxed geometry. The functional is PBE.

## Properties
Energy above the most stable polymorph in this dataset = 0 meV per atom
Calculated formation energy = 38 meV per atom

Geometry as POSCAR:
```
Cd4Hg4Pb3
1.0
3.539 -0.035 0.396
-0.135 5.235 0.752
0.006 -0.010 15.653
Pb Cd Hg
3 4 4
Cartesian
0.398 3.356 11.782 Pb
0.006 -0.010 15.653 Pb
3.012 1.834 5.019 Pb
1.319 4.749 3.719 Cd
2.092 0.441 13.082 Cd
0.908 1.382 7.656 Cd
2.503 3.808 9.146 Cd
1.847 2.837 14.788 Hg
1.011 4.248 6.539 Hg
2.399 0.942 10.263 Hg
1.563 2.353 2.013 Hg
```

---

No. 4
This record from Alexandria describes crystalline Cd3Hg5Pb4 at its relaxed geometry. The functional is PBE.

## Properties
Calculated formation energy = 40 meV per atom

Geometry as POSCAR:
```
Cd3Hg5Pb4
1.0
5.957 1.433 -0.266
-1.423 5.417 -0.110
-0.361 0.732 9.651
Hg Pb Cd
5 4 3
Cartesian
3.726 5.929 7.047 Hg
0.446 1.653 2.229 Hg
3.727 4.058 3.900 Hg
0.445 3.524 5.375 Hg
2.798 1.082 4.693 Hg
-0.172 2.163 8.549 Pb
4.344 5.418 0.727 Pb
3.255 2.234 0.728 Pb
0.917 5.348 8.548 Pb
1.308 4.636 2.225 Cd
-0.181 0.366 4.826 Cd
2.864 2.946 7.051 Cd
```

---

No. 5
This record from Alexandria describes crystalline Cd2Hg3Pb4 at its relaxed geometry. The functional is PBE.

## Properties
Energy above the most stable polymorph in this dataset = 0 meV per atom
Calculated formation energy = 31 meV per atom

Geometry as POSCAR:
```
Cd2Hg3Pb4
1.0
3.471 0.000 0.000
-1.735 3.006 0.000
0.000 0.000 24.499
Hg Pb Cd
3 4 2
Cartesian
1.735 1.002 16.183 Hg
0.000 0.000 7.737 Hg
0.000 0.000 24.055 Hg
1.735 1.002 10.502 Pb
0.000 0.000 13.409 Pb
1.735 1.002 4.979 Pb
0.000 0.000 18.999 Pb
1.735 1.002 1.939 Cd
1.735 1.002 21.683 Cd
```

---

No. 6
This record from Alexandria describes crystalline CdHg4Pb5 at its relaxed geometry. The functional is PBE.

## Properties
Calculated formation energy = 33 meV per atom

Geometry as POSCAR:
```
CdHg4Pb5
1.0
-1.318 0.212 -3.181
-2.447 -9.927 0.447
-5.026 8.627 4.086
Pb Cd Hg
5 1 4
Cartesian
-5.013 -4.296 -0.210 Pb
-1.883 -4.857 -1.367 Pb
-6.554 1.064 0.613 Pb
-3.778 3.207 1.562 Pb
-2.237 -2.152 0.739 Pb
-0.659 0.106 -1.590 Cd
-3.505 0.688 -0.536 Hg
-3.211 -7.236 0.779 Hg
-5.286 -1.777 1.888 Hg
-5.580 6.148 0.573 Hg
```

---

No. 7
This record from Alexandria describes crystalline CdHg2Pb5 at its relaxed geometry. The functional is PBE.

## Properties
Energy above the most stable polymorph in this dataset = 2 meV per atom
Calculated formation energy = 25 meV per atom

Geometry as POSCAR:
```
CdHg2Pb5
1.0
-0.536 5.093 -0.112
-3.143 -0.200 5.939
11.777 1.379 6.278
Pb Hg Cd
10 4 2
Cartesian
1.399 0.243 4.353 Pb
4.537 3.240 8.407 Pb
-1.194 2.560 4.970 Pb
8.694 1.022 4.835 Pb
4.317 0.589 6.109 Pb
3.561 3.033 3.698 Pb
7.236 0.935 7.864 Pb
-0.059 0.157 7.383 Pb
0.000 0.000 0.000 Pb
9.292 3.712 7.135 Pb
0.575 2.683 2.097 Hg
1.800 2.910 6.557 Hg
7.523 3.589 10.008 Hg
6.299 3.362 5.548 Hg
5.889 0.689 3.139 Cd
-1.571 -0.100 2.969 Cd
```

---

No. 8
This record from Alexandria describes crystalline CdHg4Pb7 at its relaxed geometry. The functional is PBE.

## Properties
Energy above the most stable polymorph in this dataset = 0 meV per atom
Calculated formation energy = 32 meV per atom

Geometry as POSCAR:
```
CdHg4Pb7
1.0
-4.221 2.982 -1.791
2.085 -3.956 -3.150
-8.461 -8.746 5.384
Hg Pb Cd
4 7 1
Cartesian
-2.866 -0.103 -1.768 Hg
-5.692 -7.509 0.914 Hg
-4.906 -2.211 -0.471 Hg
-7.732 -9.617 2.212 Hg
0.000 0.000 0.000 Pb
-9.237 -6.687 2.285 Pb
-7.018 -4.394 0.873 Pb
-3.580 -5.326 -0.430 Pb
-6.238 -6.448 3.969 Pb
-1.361 -3.032 -1.842 Pb
-2.223 -2.298 1.415 Pb
-4.231 -4.373 2.692 Cd
```

---

No. 9
This record from Alexandria describes crystalline Cd6Hg5Pb at its relaxed geometry. The functional is PBE.

## Properties
Calculated formation energy = 37 meV per atom

Geometry as POSCAR:
```
Cd6Hg5Pb
1.0
1.697 3.548 8.117
1.169 -4.119 6.568
6.580 2.664 5.416
Cd Hg Pb
6 5 1
Cartesian
2.735 -1.395 7.072 Cd
2.621 2.417 5.341 Cd
5.960 -0.085 9.736 Cd
3.485 2.178 10.364 Cd
6.711 3.487 13.028 Cd
5.656 3.795 8.192 Cd
1.913 -0.425 9.808 Hg
0.953 -0.146 4.876 Hg
4.244 1.154 7.597 Hg
3.290 1.332 2.708 Hg
5.201 0.939 12.503 Hg
0.000 0.000 0.000 Pb
```

---

No. 10
This record from Alexandria describes crystalline Cd6Hg5Pb2 at its relaxed geometry. The functional is PBE.

## Properties
Calculated formation energy = 31 meV per atom

Geometry as POSCAR:
```
Cd6Hg5Pb2
1.0
-2.843 -0.306 2.208
-2.503 -11.002 -4.750
8.695 -6.427 10.304
Hg Cd Pb
10 12 4
Cartesian
2.285 -10.917 4.383 Hg
-2.691 -10.468 -1.962 Hg
-0.847 -9.119 0.599 Hg
0.276 -3.523 2.822 Hg
3.073 -14.211 4.940 Hg
4.196 -8.615 7.163 Hg
1.063 -6.818 3.379 Hg
6.040 -7.267 9.724 Hg
-2.673 -5.654 -1.271 Hg
2.926 -3.367 6.256 Hg
-0.835 -7.956 -2.179 Cd
4.010 -8.424 3.995 Cd
5.653 -16.065 5.050 Cd
-1.508 -3.649 0.508 Cd
7.026 -9.472 7.733 Cd
0.374 -11.466 1.846 Cd
0.538 -1.364 0.504 Cd
2.975 -6.269 5.916 Cd
4.856 -14.085 7.254 Cd
2.181 -9.004 1.559 Cd
3.094 -4.434 3.369 Cd
3.097 -12.994 2.185 Cd
6.006 -5.278 7.002 Pb
0.185 -12.151 -1.447 Pb
0.734 -6.130 0.094 Pb
5.458 -11.298 5.460 Pb
```

---

No. 11
This record from Alexandria describes crystalline Cd3Hg7Pb at its relaxed geometry. The functional is PBE.

## Properties
Calculated formation energy = 53 meV per atom

Geometry as POSCAR:
```
Cd3Hg7Pb
1.0
5.984 -0.362 -0.464
-3.181 7.358 0.522
-3.181 -1.277 7.265
Cd Hg Pb
3 7 1
Cartesian
-3.181 5.324 2.110 Cd
2.992 -0.181 -0.232 Cd
-3.181 0.757 5.677 Cd
-0.241 1.539 6.775 Hg
0.407 0.966 1.237 Hg
-0.138 -0.481 4.187 Hg
-0.138 4.179 0.548 Hg
-0.785 4.752 6.086 Hg
-3.181 3.040 3.893 Hg
-0.241 6.200 3.136 Hg
-0.189 2.859 3.661 Pb
```

---

No. 12
This record from Alexandria describes crystalline CdHgPb5 at its relaxed geometry. The functional is PBE.

## Properties
Energy above the most stable polymorph in this dataset = 0 meV per atom
Calculated formation energy = 58 meV per atom

Geometry as POSCAR:
```
CdHgPb5
1.0
5.005 0.000 0.000
0.000 5.005 0.000
0.000 0.000 8.623
Pb Hg Cd
5 1 1
Cartesian
0.000 2.503 2.402 Pb
2.503 2.503 0.000 Pb
2.503 0.000 2.402 Pb
0.000 2.503 6.221 Pb
2.503 0.000 6.221 Pb
0.000 0.000 0.000 Hg
0.000 0.000 4.312 Cd
```

---

No. 13
This record from Alexandria describes crystalline CdHg5Pb8 at its relaxed geometry. The functional is PBE.

## Properties
Calculated formation energy = 75 meV per atom

Geometry as POSCAR:
```
CdHg5Pb8
1.0
-1.170 -0.096 -8.381
1.541 -6.479 5.221
-7.688 2.356 2.638
Pb Hg Cd
8 5 1
Cartesian
-2.934 -2.025 0.100 Pb
-3.047 -5.034 6.349 Pb
0.492 -3.747 3.182 Pb
-6.434 -4.015 2.928 Pb
-1.878 -5.267 0.679 Pb
-5.368 -0.213 -1.806 Pb
-4.649 -1.079 3.319 Pb
-2.740 -1.879 -3.235 Pb
-7.793 2.053 0.704 Hg
0.218 -1.685 0.979 Hg
-5.763 -3.081 -0.154 Hg
0.185 -3.287 -1.580 Hg
-1.296 -5.725 -2.571 Hg
-2.981 -3.705 3.140 Cd
```

---

No. 14
This record from Alexandria describes crystalline Cd2Hg4Pb5 at its relaxed geometry. The functional is PBE.

## Properties
Energy above the most stable polymorph in this dataset = 0 meV per atom
Calculated formation energy = 50 meV per atom

Geometry as POSCAR:
```
Cd2Hg4Pb5
1.0
-1.064 1.690 2.777
-3.907 -6.267 2.317
10.331 -4.312 4.478
Hg Pb Cd
4 5 2
Cartesian
5.967 -6.372 8.272 Hg
-0.608 -2.517 1.299 Hg
4.548 -5.517 5.102 Hg
0.811 -3.372 4.470 Hg
2.307 -1.581 1.847 Pb
3.825 -2.223 4.926 Pb
1.535 -6.666 4.646 Pb
-0.532 0.845 1.388 Pb
3.052 -7.308 7.725 Pb
6.439 -3.745 6.854 Cd
-1.079 -5.145 2.718 Cd
```

---

No. 15
This record from Alexandria describes crystalline Cd2Hg9Pb at its relaxed geometry. The functional is PBE.

## Properties
Energy above the most stable polymorph in this dataset = 0 meV per atom
Calculated formation energy = 29 meV per atom

Geometry as POSCAR:
```
Cd2Hg9Pb
1.0
-3.045 -3.073 -1.267
2.126 -0.480 -3.946
8.679 -11.083 6.025
Hg Cd Pb
9 2 1
Cartesian
5.307 -9.141 1.397 Hg
2.453 -5.496 -0.584 Hg
-0.025 -3.449 0.406 Hg
8.244 -9.411 3.012 Hg
5.658 -10.707 4.352 Hg
2.561 -2.153 -0.933 Hg
-0.460 -1.777 -2.606 Hg
2.817 -7.078 2.379 Hg
5.402 -5.782 1.040 Hg
2.905 -3.711 2.017 Cd
5.773 -7.373 4.008 Cd
0.000 0.000 0.000 Pb
```

---

No. 16
This record from Alexandria describes crystalline Cd2Hg2Pb15 at its relaxed geometry. The functional is PBE.

## Properties
Calculated formation energy = 57 meV per atom

Geometry as POSCAR:
```
Cd2Hg2Pb15
1.0
-7.225 0.566 -4.175
-5.182 -1.377 7.272
-2.811 7.869 0.351
Pb Hg Cd
15 2 2
Cartesian
-2.591 -0.688 3.636 Pb
-8.798 7.047 3.697 Pb
-10.718 3.868 4.206 Pb
-4.499 3.189 -0.759 Pb
-1.405 3.934 0.176 Pb
-7.111 4.048 4.136 Pb
-6.507 5.657 0.952 Pb
-11.654 0.433 3.868 Pb
-3.641 4.608 2.602 Pb
-3.612 0.283 -2.088 Pb
-8.107 3.010 -0.688 Pb
-6.419 0.010 -0.249 Pb
-8.711 1.400 2.495 Pb
-3.563 6.624 -0.420 Pb
-11.577 2.450 0.846 Pb
-9.730 4.978 1.457 Hg
-5.487 2.080 1.991 Hg
-12.540 6.045 2.471 Cd
-2.677 1.013 0.977 Cd
```

---

No. 17
This record from Alexandria describes crystalline Cd2Hg2Pb at its relaxed geometry. The functional is PBE.

## Properties
Energy above the most stable polymorph in this dataset = 3 meV per atom
Calculated formation energy = 45 meV per atom

Geometry as POSCAR:
```
Cd2Hg2Pb
1.0
-5.441 2.597 -6.516
2.085 -7.275 -4.641
-2.459 -1.606 1.413
Cd Pb Hg
4 2 4
Cartesian
-5.147 -1.173 -6.532 Cd
-2.943 -5.366 -7.461 Cd
-2.872 -0.918 -2.283 Cd
-0.668 -5.111 -3.212 Cd
0.000 0.000 0.000 Pb
-1.678 -2.339 -5.578 Pb
-3.239 -2.562 -8.548 Hg
-3.238 0.578 -4.977 Hg
-0.119 -5.256 -6.179 Hg
-0.117 -2.116 -2.609 Hg
```

---

No. 18
This record from Alexandria describes crystalline Cd2Hg2Pb at its relaxed geometry. The functional is PBE.

## Properties
Energy above the most stable polymorph in this dataset = 0 meV per atom
Calculated formation energy = 42 meV per atom

Geometry as POSCAR:
```
Cd2Hg2Pb
1.0
-1.492 3.325 7.622
2.397 -7.243 3.629
3.421 1.205 0.144
Hg Cd Pb
4 4 2
Cartesian
2.692 -3.158 8.200 Hg
1.261 0.981 7.571 Hg
3.065 -3.694 3.824 Hg
1.634 0.445 3.195 Hg
0.201 -1.639 8.929 Cd
1.536 -5.083 6.011 Cd
-0.631 1.165 5.240 Cd
0.705 -2.279 2.322 Cd
0.453 -1.959 5.625 Pb
0.000 0.000 0.000 Pb
```

---

No. 19
This record from Alexandria describes crystalline Cd3Hg6Pb2 at its relaxed geometry. The functional is PBE.

## Properties
Energy above the most stable polymorph in this dataset = 35 meV per atom
Calculated formation energy = 59 meV per atom

Geometry as POSCAR:
```
Cd3Hg6Pb2
1.0
-3.797 -1.727 -0.809
-0.263 -3.598 -2.244
-0.125 -12.356 15.803
Cd Pb Hg
3 2 6
Cartesian
-1.141 -3.606 1.894 Cd
0.000 0.000 0.000 Cd
-3.045 -14.074 10.856 Cd
-2.271 -7.308 3.939 Pb
-1.915 -10.373 8.811 Pb
-3.391 -11.087 6.107 Hg
-0.794 -6.594 6.643 Hg
-0.441 -9.638 11.483 Hg
-3.745 -8.043 1.267 Hg
-2.600 -4.468 -0.576 Hg
-1.585 -13.213 13.326 Hg
```

---

No. 20
This record from Alexandria describes crystalline Cd2Hg3Pb4 at its relaxed geometry. The functional is PBE.

## Properties
Energy above the most stable polymorph in this dataset = 3 meV per atom
Calculated formation energy = 35 meV per atom

Geometry as POSCAR:
```
Cd2Hg3Pb4
1.0
3.332 0.000 -0.919
-0.855 8.721 -3.100
0.644 -1.035 8.839
Hg Pb Cd
3 4 2
Cartesian
0.282 1.262 1.024 Hg
-0.427 4.361 -1.550 Hg
2.839 6.425 3.796 Hg
0.405 6.558 1.468 Pb
2.717 1.129 3.352 Pb
1.840 0.546 6.673 Pb
1.282 7.140 -1.853 Pb
1.109 3.894 4.021 Cd
2.013 3.792 0.799 Cd
```